Compound: ScAl11Fe
Source: Alexandria
Functional: PBE
Structure: relaxed

Properties
Total energy = -57.70 eV/cell
Space group = C2/m (12)
Density = 3.12 g/cm3

a = 5.107 Å, b = 7.009 Å, c = 6.763 Å
α = 82.82°, β = 67.82°, γ = 70.67°
Positions (direct):
Al  0.363  0.640  0.658
Al  0.499  0.776  0.211
Sc  0.000  0.000  0.000
Fe  0.500  0.500  0.000
Al  0.637  0.360  0.342
Al  0.000  0.500  0.000
Al  0.979  0.360  0.658
Al  0.000  0.000  0.500
Al  0.500  0.000  0.500
Al  0.501  0.224  0.789
Al  0.710  0.776  0.789
Al  0.290  0.224  0.211
Al  0.021  0.640  0.342



Compound: ScAlFe2
Source: Alexandria
Functional: PBE
Structure: relaxed

Properties
Total energy = -26.54 eV/cell
Space group = R3m (160)
Density = 4.94 g/cm3

a = 8.548 Å, b = 8.548 Å, c = 8.548 Å
α = 19.65°, β = 19.65°, γ = 19.65°
Site moments in Bohr magnetons follow the coordinates.
Positions (direct):
Sc  0.506  0.506  0.506  -0.27
Al  0.740  0.740  0.740  -0.02
Fe  0.995  0.995  0.995  2.43
Fe  0.259  0.259  0.259  2.31



Compound: ScAlFe2
Source: Alexandria
Functional: PBE
Structure: relaxed

Properties
Total energy = -27.50 eV/cell
Space group = Pm (6)
Density = 5.17 g/cm3

a = 4.095 Å, b = 2.829 Å, c = 5.298 Å
α = 74.05°, β = 90.00°, γ = 90.00°
Site moments in Bohr magnetons follow the coordinates.
Positions (direct):
Fe  0.000  0.062  0.999  1.99
Fe  0.500  0.151  0.231  2.21
Sc  0.000  0.494  0.474  -0.33
Al  0.500  0.793  0.796  -0.03



Compound: ScAl6Fe6
Source: Alexandria
Functional: PBE
Structure: relaxed

Properties
Total energy = -84.69 eV/cell
Space group = Immm (71)
Density = 5.06 g/cm3

a = 6.486 Å, b = 6.486 Å, c = 6.486 Å
α = 135.14°, β = 99.22°, γ = 97.52°
Site moments in Bohr magnetons follow the coordinates.
Positions (direct):
Al  0.817  0.317  0.500  -0.04
Al  0.668  0.000  0.668  -0.03
Al  0.343  0.343  0.000  -0.04
Al  0.332  0.000  0.332  -0.03
Al  0.657  0.657  0.000  -0.04
Fe  0.000  0.500  0.000  1.76
Fe  0.000  0.000  0.500  1.76
Fe  0.500  0.500  0.500  1.76
Sc  0.000  0.000  0.000  -0.20
Fe  0.500  0.000  0.000  1.76
Fe  0.760  0.500  0.260  1.83
Fe  0.240  0.500  0.740  1.83
Al  0.183  0.683  0.500  -0.04



Compound: ScAlFe3
Source: Alexandria
Functional: PBE
Structure: relaxed

Properties
Energy above the lowest structure with this stoichiometry = 0.0 meV/atom
Space group = Pm-3m (221)
Density = 4.81 g/cm3

a = 4.355 Å, b = 4.355 Å, c = 4.355 Å
α = 90.00°, β = 90.00°, γ = 90.00°
Site moments in Bohr magnetons follow the coordinates.
Positions (direct):
Fe  0.000  0.500  0.000  2.23
Fe  0.000  0.000  0.500  2.20
Fe  0.500  0.000  0.000  1.91
Sc  0.500  0.500  0.500  -0.46
Al  0.000  0.000  0.000  -0.10



Compound: ScAlFe
Source: Alexandria
Functional: PBE
Structure: relaxed

Properties
Total energy = -79.01 eV/cell
Space group = Amm2 (38)
Density = 4.44 g/cm3

a = 5.118 Å, b = 5.118 Å, c = 8.354 Å
α = 90.00°, β = 90.00°, γ = 119.03°
Site moments in Bohr magnetons follow the coordinates.
Positions (direct):
Sc  0.669  0.331  0.674  -0.28
Fe  0.172  0.828  0.500  1.90
Fe  0.181  0.357  0.500  1.77
Al  0.836  0.657  0.000  -0.01
Al  0.343  0.164  0.000  -0.01
Al  0.992  0.008  0.264  -0.03
Fe  0.643  0.819  0.500  1.77
Sc  0.333  0.667  0.199  -0.16
Sc  0.669  0.331  0.326  -0.28
Al  0.992  0.008  0.736  -0.03
Sc  0.333  0.667  0.801  -0.16
Fe  0.834  0.166  0.000  1.72



Compound: ScAlFe5
Source: Alexandria
Functional: PBE
Structure: relaxed

Properties
Total energy = -213.94 eV/cell
Space group = Pnma (62)
Density = 6.34 g/cm3

a = 4.714 Å, b = 7.813 Å, c = 9.981 Å
α = 90.00°, β = 90.00°, γ = 90.00°
Site moments in Bohr magnetons follow the coordinates.
Positions (direct):
Fe  0.008  0.066  0.689  1.45
Fe  0.750  0.550  0.602  1.98
Fe  0.750  0.308  0.750  1.50
Al  0.250  0.863  0.860  -0.05
Fe  0.750  0.912  0.519  2.01
Fe  0.750  0.808  0.750  1.50
Fe  0.508  0.934  0.311  1.45
Fe  0.250  0.950  0.102  1.98
Fe  0.250  0.450  0.398  1.98
Al  0.750  0.137  0.140  -0.05
Fe  0.492  0.066  0.689  1.45
Fe  0.008  0.566  0.811  1.45
Fe  0.750  0.050  0.898  1.98
Al  0.750  0.637  0.360  -0.05
Sc  0.750  0.259  0.439  -0.26
Sc  0.250  0.741  0.561  -0.26
Sc  0.750  0.759  0.061  -0.26
Fe  0.250  0.692  0.250  1.50
Fe  0.492  0.566  0.811  1.45
Fe  0.992  0.934  0.311  1.45
Fe  0.750  0.412  0.981  2.01
Fe  0.992  0.434  0.189  1.45
Fe  0.250  0.088  0.481  2.01
Fe  0.508  0.434  0.189  1.45
Fe  0.250  0.192  0.250  1.50
Al  0.250  0.363  0.640  -0.05
Sc  0.250  0.241  0.939  -0.26
Fe  0.250  0.588  0.019  2.01



Compound: ScAl4Fe8
Source: Alexandria
Functional: PBE
Structure: relaxed

Properties
Total energy = -91.18 eV/cell
Space group = I4/mmm (139)
Density = 5.78 g/cm3

a = 6.383 Å, b = 6.383 Å, c = 6.383 Å
α = 98.82°, β = 98.82°, γ = 133.91°
Site moments in Bohr magnetons follow the coordinates.
Positions (direct):
Fe  0.364  0.000  0.364  2.22
Al  0.500  0.500  0.500  -0.06
Sc  0.000  0.000  0.000  -0.28
Al  0.000  0.000  0.500  -0.06
Fe  0.287  0.500  0.787  1.98
Al  0.500  0.000  0.000  -0.06
Al  0.000  0.500  0.000  -0.06
Fe  0.636  0.000  0.636  2.22
Fe  0.000  0.364  0.364  2.22
Fe  0.000  0.636  0.636  2.22
Fe  0.500  0.713  0.213  1.98
Fe  0.500  0.287  0.787  1.98
Fe  0.713  0.500  0.213  1.98



Compound: ScAl4Fe
Source: Alexandria
Functional: PBE
Structure: relaxed

Properties
Total energy = -62.31 eV/cell
Space group = Immm (71)
Density = 3.48 g/cm3

a = 4.958 Å, b = 6.362 Å, c = 7.501 Å
α = 115.09°, β = 109.33°, γ = 90.00°
Site moments in Bohr magnetons follow the coordinates.
Positions (direct):
Al  0.000  0.191  0.000  -0.02
Al  0.612  0.897  0.224  -0.01
Al  0.167  0.667  0.334  -0.02
Sc  0.211  0.211  0.422  0.08
Al  0.388  0.673  0.776  -0.01
Al  0.833  0.333  0.666  -0.02
Al  0.000  0.809  0.000  -0.02
Al  0.388  0.103  0.776  -0.01
Fe  0.729  0.500  0.000  1.27
Fe  0.271  0.500  0.000  1.27
Al  0.612  0.327  0.224  -0.01
Sc  0.789  0.789  0.578  0.08



Compound: Sc4Al8Fe
Source: Alexandria
Functional: PBE
Structure: relaxed

Properties
Total energy = -63.75 eV/cell
Space group = I4/mmm (139)
Density = 2.83 g/cm3

a = 7.133 Å, b = 7.133 Å, c = 7.133 Å
α = 102.48°, β = 102.48°, γ = 124.59°
Site moments in Bohr magnetons follow the coordinates.
Positions (direct):
Al  0.000  0.311  0.311  0.00
Sc  0.000  0.000  0.500  0.03
Al  0.000  0.689  0.689  0.00
Al  0.738  0.500  0.238  0.01
Al  0.500  0.262  0.762  0.01
Al  0.689  0.000  0.689  0.00
Sc  0.500  0.500  0.500  0.03
Al  0.262  0.500  0.762  0.01
Fe  0.000  0.000  0.000  3.02
Al  0.500  0.738  0.238  0.01
Sc  0.500  0.000  0.000  0.03
Sc  0.000  0.500  0.000  0.03
Al  0.311  0.000  0.311  0.00



Compound: ScAlFe
Source: Alexandria
Functional: PBE
Structure: relaxed

Properties
Total energy = -19.09 eV/cell
Space group = P-6m2 (187)
Density = 4.34 g/cm3

a = 4.383 Å, b = 4.383 Å, c = 2.935 Å
α = 90.00°, β = 90.00°, γ = 120.00°
Site moments in Bohr magnetons follow the coordinates.
Positions (direct):
Fe  0.667  0.333  0.167  1.84
Al  0.000  0.000  0.167  0.00
Sc  0.333  0.667  0.666  -0.15



Compound: ScAl2Fe
Source: Alexandria
Functional: PBE
Structure: relaxed

Properties
Total energy = -23.20 eV/cell
Space group = Immm (71)
Density = 4.04 g/cm3

a = 5.257 Å, b = 5.257 Å, c = 5.257 Å
α = 145.07°, β = 129.36°, γ = 62.99°
Site moments in Bohr magnetons follow the coordinates.
Positions (direct):
Al  0.470  0.470  0.000  -0.01
Fe  0.250  0.750  0.500  1.33
Al  0.030  0.030  0.000  -0.01
Sc  0.750  0.250  0.500  -0.20